VASP calculation (PBE-GGA) on an optimized crystal structure of LuTiCoPd.

Computed properties:
* ΔE_f: -405 meV/atom
* volume: 67.1 Å³/f.u.
* total DFT energy (no corrections): -6.5837 eV per atom
* mass density: 9.6 g cm⁻³

Cell lengths 6.4502, 6.4502, 6.4502 Å; angles 90.00, 90.00, 90.00 degrees
Closest atoms and distances in Å follow each position.
Positions (direct):
Lu 0.0000 0.0000 0.0000  4 Co 2.79, 4 Pd 2.79
Lu 0.0000 0.5000 0.5000  4 Co 2.79, 4 Pd 2.79
Lu 0.5000 0.0000 0.5000  4 Co 2.79, 4 Pd 2.79
Lu 0.5000 0.5000 0.0000  4 Co 2.79, 4 Pd 2.79
Ti 0.0000 0.0000 0.5000  4 Pd 2.79, 4 Co 2.79
Ti 0.0000 0.5000 0.0000  4 Pd 2.79, 4 Co 2.79
Ti 0.5000 0.0000 0.0000  4 Pd 2.79, 4 Co 2.79
Ti 0.5000 0.5000 0.5000  4 Pd 2.79, 4 Co 2.79
Co 0.2500 0.2500 0.2500  4 Ti 2.79, 4 Lu 2.79
Co 0.2500 0.7500 0.7500  4 Ti 2.79, 4 Lu 2.79
Co 0.7500 0.2500 0.7500  4 Ti 2.79, 4 Lu 2.79
Co 0.7500 0.7500 0.2500  4 Ti 2.79, 4 Lu 2.79
Pd 0.2500 0.2500 0.7500  4 Ti 2.79, 4 Lu 2.79
Pd 0.2500 0.7500 0.2500  4 Ti 2.79, 4 Lu 2.79
Pd 0.7500 0.2500 0.2500  4 Ti 2.79, 4 Lu 2.79
Pd 0.7500 0.7500 0.7500  4 Ti 2.79, 4 Lu 2.79

=====

VASP calculation (PBE-GGA) on an optimized crystal structure of YLuCoPd.

Computed properties:
* ΔE_f: -524 meV/atom
* volume: 78.4 Å³/f.u.
* total DFT energy (no corrections): -6.3453 eV per atom
* mass density: 9.1 g cm⁻³

Cell lengths 6.7949, 6.7949, 6.7949 Å; angles 90.00, 90.00, 90.00 degrees
Closest atoms and distances in Å follow each position.
Positions (direct):
Y 0.0000 0.0000 0.0000  4 Co 2.94, 4 Pd 2.94
Y 0.0000 0.5000 0.5000  4 Co 2.94, 4 Pd 2.94
Y 0.5000 0.0000 0.5000  4 Co 2.94, 4 Pd 2.94
Y 0.5000 0.5000 0.0000  4 Co 2.94, 4 Pd 2.94
Lu 0.0000 0.0000 0.5000  4 Co 2.94, 4 Pd 2.94
Lu 0.0000 0.5000 0.0000  4 Co 2.94, 4 Pd 2.94
Lu 0.5000 0.0000 0.0000  4 Co 2.94, 4 Pd 2.94
Lu 0.5000 0.5000 0.5000  4 Co 2.94, 4 Pd 2.94
Co 0.2500 0.2500 0.2500  4 Y 2.94, 4 Lu 2.94
Co 0.2500 0.7500 0.7500  4 Y 2.94, 4 Lu 2.94
Co 0.7500 0.2500 0.7500  4 Y 2.94, 4 Lu 2.94
Co 0.7500 0.7500 0.2500  4 Y 2.94, 4 Lu 2.94
Pd 0.2500 0.2500 0.7500  4 Y 2.94, 4 Lu 2.94
Pd 0.2500 0.7500 0.2500  4 Y 2.94, 4 Lu 2.94
Pd 0.7500 0.2500 0.2500  4 Y 2.94, 4 Lu 2.94
Pd 0.7500 0.7500 0.7500  4 Y 2.94, 4 Lu 2.94

=====

VASP calculation (PBE-GGA) on an optimized crystal structure of LuZnCoPd.

Computed properties:
* ΔE_f: -419 meV/atom
* volume: 63.4 Å³/f.u.
* total DFT energy (no corrections): -4.9420 eV per atom
* mass density: 10.6 g cm⁻³

Cell lengths 6.3293, 6.3293, 6.3293 Å; angles 90.00, 90.00, 90.00 degrees
Closest atoms and distances in Å follow each position.
Positions (direct):
Lu 0.0000 0.0000 0.0000  4 Co 2.74, 4 Pd 2.74
Lu 0.0000 0.5000 0.5000  4 Co 2.74, 4 Pd 2.74
Lu 0.5000 0.0000 0.5000  4 Co 2.74, 4 Pd 2.74
Lu 0.5000 0.5000 0.0000  4 Co 2.74, 4 Pd 2.74
Zn 0.0000 0.0000 0.5000  4 Co 2.74, 4 Pd 2.74
Zn 0.0000 0.5000 0.0000  4 Co 2.74, 4 Pd 2.74
Zn 0.5000 0.0000 0.0000  4 Co 2.74, 4 Pd 2.74
Zn 0.5000 0.5000 0.5000  4 Co 2.74, 4 Pd 2.74
Co 0.2500 0.2500 0.2500  4 Zn 2.74, 4 Lu 2.74
Co 0.2500 0.7500 0.7500  4 Zn 2.74, 4 Lu 2.74
Co 0.7500 0.2500 0.7500  4 Zn 2.74, 4 Lu 2.74
Co 0.7500 0.7500 0.2500  4 Zn 2.74, 4 Lu 2.74
Pd 0.2500 0.2500 0.7500  4 Zn 2.74, 4 Lu 2.74
Pd 0.2500 0.7500 0.2500  4 Zn 2.74, 4 Lu 2.74
Pd 0.7500 0.2500 0.2500  4 Zn 2.74, 4 Lu 2.74
Pd 0.7500 0.7500 0.7500  4 Zn 2.74, 4 Lu 2.74

=====

VASP calculation (PBE-GGA) on an optimized crystal structure of LuZrCoPd.

Computed properties:
* ΔE_f: -481 meV/atom
* volume: 73.1 Å³/f.u.
* total DFT energy (no corrections): -6.8232 eV per atom
* mass density: 9.8 g cm⁻³

Cell lengths 6.6378, 6.6378, 6.6378 Å; angles 90.00, 90.00, 90.00 degrees
Closest atoms and distances in Å follow each position.
Positions (direct):
Lu 0.0000 0.0000 0.0000  4 Co 2.87, 4 Pd 2.87
Lu 0.0000 0.5000 0.5000  4 Co 2.87, 4 Pd 2.87
Lu 0.5000 0.0000 0.5000  4 Co 2.87, 4 Pd 2.87
Lu 0.5000 0.5000 0.0000  4 Co 2.87, 4 Pd 2.87
Zr 0.0000 0.0000 0.5000  4 Co 2.87, 4 Pd 2.87
Zr 0.0000 0.5000 0.0000  4 Co 2.87, 4 Pd 2.87
Zr 0.5000 0.0000 0.0000  4 Co 2.87, 4 Pd 2.87
Zr 0.5000 0.5000 0.5000  4 Co 2.87, 4 Pd 2.87
Co 0.2500 0.2500 0.2500  4 Zr 2.87, 4 Lu 2.87
Co 0.2500 0.7500 0.7500  4 Zr 2.87, 4 Lu 2.87
Co 0.7500 0.2500 0.7500  4 Zr 2.87, 4 Lu 2.87
Co 0.7500 0.7500 0.2500  4 Zr 2.87, 4 Lu 2.87
Pd 0.2500 0.2500 0.7500  4 Zr 2.87, 4 Lu 2.87
Pd 0.2500 0.7500 0.2500  4 Zr 2.87, 4 Lu 2.87
Pd 0.7500 0.2500 0.2500  4 Zr 2.87, 4 Lu 2.87
Pd 0.7500 0.7500 0.7500  4 Zr 2.87, 4 Lu 2.87

=====

VASP calculation (PBE-GGA) on an optimized crystal structure of Pm2LuCo.

Computed properties:
* energy relative to the lowest polymorph listed for this composition: 17.3 kJ per mole of atoms
* ΔE_f: 240 meV/atom
* volume: 116.8 Å³/f.u.
* total DFT energy (no corrections): -5.0417 eV per atom
* mass density: 7.4 g cm⁻³

Cell lengths 3.6050, 3.6050, 31.1393 Å; angles 90.00, 90.00, 120.00 degrees
Closest atoms and distances in Å follow each position.
Positions (direct):
Pm 0.0000 0.0000 0.1111  3 Co 2.71
Pm 0.0000 0.0000 0.8889  3 Co 2.71
Pm 0.3333 0.6667 0.5555  3 Co 2.71
Pm 0.3333 0.6667 0.7778  3 Co 2.71
Pm 0.6667 0.3333 0.2222  3 Co 2.71
Pm 0.6667 0.3333 0.4445  3 Co 2.71
Lu 0.0000 0.0000 0.0000  2 Pm 3.46, 6 Lu 3.61
Lu 0.3333 0.6667 0.6667  2 Pm 3.46, 6 Lu 3.61
Lu 0.6667 0.3333 0.3333  2 Pm 3.46, 6 Lu 3.61
Co 0.0000 0.0000 0.5000  6 Pm 2.71
Co 0.3333 0.6667 0.1667  6 Pm 2.71
Co 0.6667 0.3333 0.8333  6 Pm 2.71

=====

VASP calculation (PBE-GGA) on an optimized crystal structure of PmLu2Co.

Computed properties:
* ΔE_f: 107 meV/atom
* volume: 112.0 Å³/f.u.
* total DFT energy (no corrections): -5.1178 eV per atom
* mass density: 8.2 g cm⁻³

Cell lengths 3.5621, 3.5621, 30.5881 Å; angles 90.00, 90.00, 120.00 degrees
Closest atoms and distances in Å follow each position.
Positions (direct):
Pm 0.0000 0.0000 0.0000  2 Lu 3.53, 6 Pm 3.56
Pm 0.3333 0.6667 0.6667  2 Lu 3.53, 6 Pm 3.56
Pm 0.6667 0.3333 0.3333  2 Lu 3.53, 6 Pm 3.56
Lu 0.0000 0.0000 0.1155  3 Co 2.58
Lu 0.0000 0.0000 0.8845  3 Co 2.58
Lu 0.3333 0.6667 0.5512  3 Co 2.58
Lu 0.3333 0.6667 0.7822  3 Co 2.58
Lu 0.6667 0.3333 0.2178  3 Co 2.58
Lu 0.6667 0.3333 0.4488  3 Co 2.58
Co 0.0000 0.0000 0.5000  6 Lu 2.58
Co 0.3333 0.6667 0.1667  6 Lu 2.58
Co 0.6667 0.3333 0.8333  6 Lu 2.58

=====

VASP calculation (PBE-GGA) on an optimized crystal structure of PmLuCo4.

Computed properties:
* ΔE_f: -173 meV/atom
* volume: 92.6 Å³/f.u.
* total DFT energy (no corrections): -6.4550 eV per atom
* mass density: 10.0 g cm⁻³

Cell lengths 5.0790, 5.0790, 5.0790 Å; angles 60.00, 60.00, 60.00 degrees
Closest atoms and distances in Å follow each position.
Positions (direct):
Pm 0.0000 0.0000 0.0000  12 Co 2.98, 4 Lu 3.11
Lu 0.2500 0.2500 0.2500  12 Co 2.98, 4 Pm 3.11
Co 0.1272 0.6243 0.6243  6 Co 2.52-2.55
Co 0.6243 0.1272 0.6243  6 Co 2.52-2.55
Co 0.6243 0.6243 0.1272  6 Co 2.52-2.55
Co 0.6243 0.6243 0.6243  6 Co 2.52-2.55

=====

VASP calculation (PBE-GGA) on an optimized crystal structure of Pm2LuCo.

Computed properties:
* energy relative to the lowest polymorph listed for this composition: 0.0 kJ per mole of atoms
* ΔE_f: 61 meV/atom
* volume: 106.7 Å³/f.u.
* total DFT energy (no corrections): -5.2206 eV per atom
* mass density: 8.2 g cm⁻³

Cell lengths 3.5076, 3.5076, 8.6704 Å; angles 90.00, 90.00, 90.00 degrees
Closest atoms and distances in Å follow each position.
Positions (direct):
Pm 0.0000 0.0000 0.1939  4 Co 3.00
Pm 0.0000 0.0000 0.8061  4 Co 3.00
Lu 0.5000 0.5000 0.5000  4 Lu 3.51, 8 Pm 3.63
Co 0.5000 0.5000 0.0000  8 Pm 3.00